(1)
4
Lattice="-1.973 1.973 4.043 1.973 -1.973 4.043 1.973 1.973 -4.043" Properties=species:S:1:pos:R:3 comment="SCAN FePt2Br, PBEsol geometry" n_ef_per_ev_cell=2.94 m_tot_mub_per_atom=1.089 relative_energy_ev_per_fu=0.78 raw_formation_energy_ev_per_atom=0.533 crystal_system=tetragonal vol_a3_per_cell=63.0 pbc="T T T"
Fe 0.000 0.000 0.000
Pt 1.973 0.000 2.022
Pt 0.000 1.973 2.022
Br 0.000 0.000 4.043

(2)
5
Lattice="-3.200 3.200 5.042 3.200 -3.200 5.042 3.200 3.200 -5.042" Properties=species:S:1:pos:R:3 comment="SCAN RbPb2I2, PBEsol geometry" n_ef_per_ev_cell=2.15 m_tot_mub_per_atom=0.000 raw_formation_energy_ev_per_atom=-0.450 crystal_system=tetragonal vol_a3_per_cell=206.5 pbc="T T T"
Rb 0.000 0.000 0.000
Pb 0.000 0.000 3.520
Pb 0.000 0.000 6.565
I 3.200 0.000 2.521
I 0.000 3.200 2.521

(3)
4
Lattice="1.667 0.962 10.621 -1.667 0.962 10.621 0.000 -1.925 10.621" Properties=species:S:1:pos:R:3 comment="SCAN LaZrTl2, PBEsol geometry" n_ef_per_ev_cell=4.22 m_tot_mub_per_atom=0.000 crystal_system=trigonal delta_e_f_mev_per_atom=-171 vol_a3_per_cell=102.2 pbc="T T T"
La 0.000 0.000 0.000
Zr 0.000 0.000 15.931
Tl 0.000 0.000 7.789
Tl 0.000 0.000 24.073

(4)
4
Lattice="-1.521 2.451 6.759 1.521 -2.451 6.759 1.521 2.451 -6.759" Properties=species:S:1:pos:R:3 comment="SCAN TaIn2Te, PBEsol geometry" n_ef_per_ev_cell=2.30 m_tot_mub_per_atom=0.000 relative_energy_ev_per_fu=0.00 raw_formation_energy_ev_per_atom=0.162 crystal_system=orthorhombic vol_a3_per_cell=100.8 pbc="T T T"
Ta 0.000 0.000 0.000
In 0.000 0.000 6.419
In 0.000 2.451 4.192
Te 1.521 0.000 2.361

(5)
4
Lattice="1.860 1.074 9.399 -1.860 1.074 9.399 0.000 -2.148 9.399" Properties=species:S:1:pos:R:3 comment="SCAN Y3Se, PBEsol geometry" n_ef_per_ev_cell=4.51 m_tot_mub_per_atom=0.383 relative_energy_ev_per_fu=0.00 raw_formation_energy_ev_per_atom=-0.955 crystal_system=trigonal vol_a3_per_cell=112.6 pbc="T T T"
Y 0.000 0.000 0.000
Y 0.000 0.000 6.536
Y 0.000 0.000 21.662
Se 0.000 0.000 14.099

(6)
12
Lattice="4.511 0.000 0.000 1.509 5.067 0.000 1.563 0.877 6.664" Properties=species:S:1:pos:R:3 comment="SCAN Cu2Pt, PBEsol geometry" n_ef_per_ev_cell=4.89 m_tot_mub_per_atom=0.000 relative_energy_ev_per_fu=0.12 crystal_system=triclinic delta_e_f_mev_per_atom=-125 vol_a3_per_cell=152.3 pbc="T T T"
Cu 0.000 0.000 0.000
Cu 0.758 1.098 2.172
Cu 0.755 2.443 0.024
Cu 1.527 3.609 2.179
Cu 3.772 1.570 5.559
Cu 4.516 4.014 5.566
Cu 2.998 1.783 1.051
Cu 6.036 2.224 4.492
Pt 4.510 5.487 3.298
Pt 3.753 4.318 0.997
Pt 3.813 2.906 3.319
Pt 6.760 4.756 4.537